# 1
Material: Rb3Tl2Cl7
Method: DFT, PBE
State: optimized geometry

Results
The calculation puts the density of states at the Fermi level at 1.92 states/eV per cell. As for the spin magnetization: 0.000 μB per formula unit. The value obtained for the offset from the most stable computed form is 0.34 eV per formula unit. The volume comes out at 418.9 Å³/cell. The calculation puts the uncorrected formation energy at -1.33 eV per atom.

Unit cell a=13.861 b=13.861 c=5.425 alpha=90.00 beta=90.00 gamma=156.30
Fractional coordinates of all 12 atoms:
Rb  0.000  0.000  0.000
Rb  0.182  0.818  0.000
Rb  0.818  0.182  0.000
Tl  0.396  0.604  0.500
Tl  0.604  0.396  0.500
Cl  0.100  0.900  0.500
Cl  0.295  0.705  0.500
Cl  0.398  0.602  0.000
Cl  0.500  0.500  0.500
Cl  0.602  0.398  0.000
Cl  0.705  0.295  0.500
Cl  0.900  0.100  0.500

---

# 2
Material: GaPdRh
Method: DFT, PBE
State: optimized geometry

Results
The calculation puts the density of states at the Fermi level at 9.12 states/eV per cell. As for the spin magnetization: 0.000 μB per formula unit. The value obtained for the offset from the most stable computed form is 0.17 eV per formula unit. The energy relative to the elements is -1.223 eV per formula unit. The volume comes out at 183.3 Å³/cell.

Unit cell a=2.926 b=2.926 c=21.406 alpha=90.00 beta=90.00 gamma=90.00
Fractional coordinates of all 12 atoms:
Ga  0.000  0.000  0.134
Ga  0.000  0.000  0.866
Ga  0.500  0.500  0.366
Ga  0.500  0.500  0.634
Pd  0.000  0.000  0.439
Pd  0.000  0.000  0.561
Pd  0.500  0.500  0.061
Pd  0.500  0.500  0.939
Rh  0.000  0.000  0.295
Rh  0.000  0.000  0.705
Rh  0.500  0.500  0.205
Rh  0.500  0.500  0.795

---

Number 2 is which compound?
GaPdRh

---

Which value of offset from the most stable computed form does entry 2 give?
0.17 eV per formula unit